{
  "formula": "Mg2MnSe4",
  "functional": "PBE",
  "state": "relaxed",
  "lattice_angstrom": [[-3.280, 3.127, -2.086], [-3.488, -1.499, 3.237], [-1.545, 5.519, 4.737]],
  "species": ["Mg", "Mg", "Se", "Se", "Se", "Se", "Mn"],
  "frac_coords": [[0.380, 0.380, 0.240], [0.620, 0.620, 0.760], [0.500, 0.000, 0.000], [0.810, 0.810, 0.380], [0.000, 0.500, 0.000], [0.190, 0.190, 0.620], [0.000, 0.000, 0.000]],
  "energy_ev_per_cell": -29.31,
  "raw_formation_energy_kcal_per_mol_atoms": -9.9,
  "magnetic_moment_mub_per_cell": 3.38
}